This record from Alexandria describes a relaxed structure of RbTlCrF2. The functional is PBE with a Hubbard U.

Cell: 4.4779 4.4779 6.9582 Å, 90.00 90.00 90.00°
Atoms (fractional coordinates):
Rb1 0.0000 0.0000 0.0000
Tl1 0.5000 0.5000 0.0000
Cr1 0.0000 0.0000 0.5000
F1 0.0000 0.5000 0.5000
F2 0.5000 0.0000 0.5000

Results
symmetry = No. 123
E_tot = -3.852 eV per atom